VASP calculation (PBE) on AlGe3N after structural relaxation.

Cell: 4.7828 4.7828 4.7828 Å, 90.00 90.00 90.00°
Space group Pm-3m (No. 221)
Asymmetric unit:
Al  0.0000  0.0000  0.0000 x1
Ge  0.0000  0.0000  0.5000 x3
N  0.5000  0.5000  0.5000 x1

Computed properties:
E above lowest polymorph: 0.933 eV/atom
energy relative to the elements, uncorrected: 1.568 eV per atom
calculated volume: 21.88 A^3/atom
N(E_F): 2.3 states/eV/cell
magnetization: 0.0000 μB/atom
crystal system: cubic

---

VASP calculation (PBE) on AlGeN2 after structural relaxation.

Cell: 3.0520 3.0520 17.2593 Å, 90.00 90.00 120.00°
Space group R-3m (No. 166, hexagonal axes)
Asymmetric unit:
Al  0.0000  0.0000  0.0000 x3
Ge  0.0000  0.0000  0.5000 x3
N  0.0000  0.0000  0.1070 x6

Computed properties:
E above lowest polymorph: 0.409 eV/atom
energy relative to the elements, uncorrected: 0.122 eV per atom
calculated volume: 11.60 A^3/atom
N(E_F): 6.0 states/eV/cell
magnetization: 0.0000 μB/atom
crystal system: trigonal

---

VASP calculation (PBE) on AlGe2N after structural relaxation.

Cell: 5.3651 5.3651 9.7507 Å, 90.00 90.00 90.00°
Space group I-42d (No. 122)
Asymmetric unit:
Al  0.0000  0.0000  0.0000 x4
Ge  0.1817  0.2500  0.6250 x8
N  0.0000  0.0000  0.5000 x4

Computed properties:
E above lowest polymorph: 0.000 eV/atom
energy relative to the elements, uncorrected: 0.302 eV per atom
calculated volume: 17.54 A^3/atom
N(E_F): 0.0 states/eV/cell
magnetization: 0.0000 μB/atom
crystal system: tetragonal

---

VASP calculation (PBE) on Al3GeN after structural relaxation.

Cell: 4.1486 4.1486 4.1486 Å, 90.00 90.00 90.00°
Space group Pm-3m (No. 221)
Asymmetric unit:
Al  0.0000  0.0000  0.5000 x3
Ge  0.5000  0.5000  0.5000 x1
N  0.0000  0.0000  0.0000 x1

Computed properties:
E above lowest polymorph: 0.000 eV/atom
energy relative to the elements, uncorrected: 0.065 eV per atom
calculated volume: 14.28 A^3/atom
N(E_F): 0.7 states/eV/cell
magnetization: 0.0000 μB/atom
crystal system: cubic